[1]
# Ho2SiGeIr

A relaxed structure of Ho2SiGeIr (PBE-GGA, OQMD).

POSCAR file:
```
Ho2SiGeIr
1.0
5.2925 -2.1074 0.0000
5.2925 2.1074 0.0000
-4.8535 0.0000 8.9051
Ho Si Ge Ir
4 2 2 2
direct
0.0038 0.0038 0.1733 Ho
0.1826 0.1826 0.6121 Ho
0.8174 0.8174 0.3879 Ho
0.9962 0.9962 0.8267 Ho
0.3585 0.3585 0.9339 Si
0.6415 0.6415 0.0661 Si
0.4795 0.4795 0.6246 Ge
0.5205 0.5205 0.3754 Ge
0.2689 0.2689 0.1210 Ir
0.7311 0.7311 0.8790 Ir
```

Summary:
The space-group type is C2/m. Its final energy is -65.95 eV/cell. For the total magnetic moment, the calculation gives 0.009 μB/cell.

***

[2]
# TbHoGe2Ir

A relaxed structure of TbHoGe2Ir (PBE-GGA, OQMD).

POSCAR file:
```
TbHoGe2Ir
1.0
5.2570 -2.1527 0.0000
5.2570 2.1527 0.0000
-4.6354 0.0000 9.2064
Tb Ho Ge Ir
2 2 4 2
direct
0.1905 0.1905 0.1183 Tb
0.8095 0.8095 0.8817 Tb
0.0085 0.0085 0.3303 Ho
0.9915 0.9915 0.6697 Ho
0.3528 0.3528 0.4475 Ge
0.4803 0.4803 0.1162 Ge
0.5197 0.5197 0.8838 Ge
0.6472 0.6472 0.5525 Ge
0.2711 0.2711 0.6640 Ir
0.7289 0.7289 0.3360 Ir
```

Summary:
The space-group type is C2/m. Its final energy is -63.82 eV/cell. For the total magnetic moment, the calculation gives 0.003 μB/cell.

***

[3]
# TbHoGe2Ir

A relaxed structure of TbHoGe2Ir (PBE-GGA, OQMD).

POSCAR file:
```
TbHoGe2Ir
1.0
5.2726 -2.1521 0.0000
5.2726 2.1521 0.0000
-4.6692 0.0000 9.2036
Tb Ho Ge Ir
2 2 4 2
direct
0.0078 0.0078 0.3293 Tb
0.9922 0.9922 0.6707 Tb
0.1899 0.1899 0.1185 Ho
0.8101 0.8101 0.8815 Ho
0.3521 0.3521 0.4467 Ge
0.4798 0.4798 0.1151 Ge
0.5202 0.5202 0.8849 Ge
0.6479 0.6479 0.5533 Ge
0.2717 0.2717 0.6658 Ir
0.7283 0.7283 0.3342 Ir
```

Summary:
The space-group type is C2/m. Its final energy is -63.81 eV/cell. For the total magnetic moment, the calculation gives 0.002 μB/cell.

***

[4]
# KHoGe

A relaxed structure of KHoGe (PBE-GGA, OQMD).

POSCAR file:
```
KHoGe
1.0
7.2829 0.0000 0.0000
0.0000 7.2829 0.0000
0.0000 0.0000 7.2829
K Ho Ge
4 4 4
direct
0.0000 0.0000 0.0000 K
0.0000 0.5000 0.5000 K
0.5000 0.0000 0.5000 K
0.5000 0.5000 0.0000 K
0.0000 0.0000 0.5000 Ho
0.0000 0.5000 0.0000 Ho
0.5000 0.0000 0.0000 Ho
0.5000 0.5000 0.5000 Ho
0.2500 0.2500 0.7500 Ge
0.2500 0.7500 0.2500 Ge
0.7500 0.2500 0.2500 Ge
0.7500 0.7500 0.7500 Ge
```

Summary:
The space-group type is F-43m. For the total magnetic moment, the calculation gives 0.001 μB/cell. The energy above the lowest structure with this stoichiometry comes out at 0.0 meV per atom.

***

[5]
# KHoGeSe3

A relaxed structure of KHoGeSe3 (PBE-GGA, OQMD).

POSCAR file:
```
KHoGeSe3
1.0
8.6066 0.0000 0.0000
0.0000 4.0387 0.0000
-3.5577 0.0000 10.4633
K Ho Ge Se
2 2 2 6
direct
0.2288 0.2500 0.2726 K
0.7712 0.7500 0.7274 K
0.3639 0.7500 0.8439 Ho
0.6361 0.2500 0.1561 Ho
0.1299 0.2500 0.5591 Ge
0.8701 0.7500 0.4409 Ge
0.1101 0.2500 0.7789 Se
0.3357 0.7500 0.5763 Se
0.3930 0.7500 0.1065 Se
0.6070 0.2500 0.8935 Se
0.6643 0.2500 0.4237 Se
0.8899 0.7500 0.2211 Se
```

Summary:
The space-group type is P2_1/m. For the total magnetic moment, the calculation gives 0.002 μB/cell. The energy above the lowest structure with this stoichiometry comes out at 0.0 meV per atom.

***

[6]
# KHoGeSe3

A relaxed structure of KHoGeSe3 (PBE-GGA, OQMD).

POSCAR file:
```
KHoGeSe3
1.0
2.1967 -7.3838 0.0000
2.1967 7.3838 0.0000
0.0000 0.0000 11.2617
K Ho Ge Se
2 2 2 6
direct
0.2478 0.7522 0.7500 K
0.7522 0.2478 0.2500 K
0.5000 0.5000 0.0000 Ho
0.5000 0.5000 0.5000 Ho
0.0331 0.9669 0.2500 Ge
0.9669 0.0331 0.7500 Ge
0.1255 0.8745 0.0461 Se
0.1255 0.8745 0.4539 Se
0.4320 0.5680 0.2500 Se
0.5680 0.4320 0.7500 Se
0.8745 0.1255 0.5461 Se
0.8745 0.1255 0.9539 Se
```

Summary:
The space-group type is Cmcm. For the total magnetic moment, the calculation gives 0.012 μB/cell. The energy above the lowest structure with this stoichiometry comes out at 157.0 meV per atom.

***

[7]
# KHoGeTe3

A relaxed structure of KHoGeTe3 (PBE-GGA, OQMD).

POSCAR file:
```
KHoGeTe3
1.0
2.3131 -7.7728 0.0000
2.3131 7.7728 0.0000
0.0000 0.0000 11.9807
K Ho Ge Te
2 2 2 6
direct
0.2455 0.7545 0.7500 K
0.7545 0.2455 0.2500 K
0.0000 0.0000 0.0000 Ho
0.0000 0.0000 0.5000 Ho
0.4642 0.5358 0.2500 Ge
0.5358 0.4642 0.7500 Ge
0.0709 0.9291 0.2500 Te
0.3686 0.6314 0.0455 Te
0.3686 0.6314 0.4545 Te
0.6314 0.3686 0.5455 Te
0.6314 0.3686 0.9545 Te
0.9291 0.0709 0.7500 Te
```

Summary:
The space-group type is Cmcm. For the total magnetic moment, the calculation gives 0.003 μB/cell. The energy above the lowest structure with this stoichiometry comes out at 106.6 meV per atom.

***

[8]
# KHoGeTe3

A relaxed structure of KHoGeTe3 (PBE-GGA, OQMD).

POSCAR file:
```
KHoGeTe3
1.0
11.9162 0.0000 0.0000
0.0000 4.6448 0.0000
0.0000 0.0000 15.5840
K Ho Ge Te
4 4 4 12
direct
0.2272 0.2500 0.0076 K
0.2728 0.7500 0.5076 K
0.7272 0.2500 0.4924 K
0.7728 0.7500 0.9924 K
0.0175 0.7500 0.7400 Ho
0.4825 0.2500 0.2400 Ho
0.5175 0.7500 0.7600 Ho
0.9825 0.2500 0.2600 Ho
0.2388 0.7500 0.2196 Ge
0.2612 0.2500 0.7196 Ge
0.7388 0.7500 0.2804 Ge
0.7612 0.2500 0.7804 Ge
0.0309 0.7500 0.1300 Te
0.0666 0.2500 0.6096 Te
0.2317 0.2500 0.3253 Te
0.2683 0.7500 0.8253 Te
0.4334 0.7500 0.1096 Te
0.4691 0.2500 0.6300 Te
0.5309 0.7500 0.3700 Te
0.5666 0.2500 0.8904 Te
0.7317 0.2500 0.1747 Te
0.7683 0.7500 0.6747 Te
0.9334 0.7500 0.3904 Te
0.9691 0.2500 0.8700 Te
```

Summary:
The space-group type is Pnma. For the total magnetic moment, the calculation gives 0.005 μB/cell. The energy above the lowest structure with this stoichiometry comes out at 107.8 meV per atom.

***

Q: The highest total magnetic moment belongs to which entry?
A: number 6